Record 1
Computed, not measured: SrHfP2 after structural relaxation at the GGA-PBE level of DFT.

a b c (Å): 7.1193 7.1193 8.8286
angles (deg): 90.00 90.00 90.00
Positions (direct):
Sr 0.0000 0.0000 0.0000
Sr 0.0000 0.5000 0.2500
Sr 0.5000 0.0000 0.7500
Sr 0.5000 0.5000 0.5000
Hf 0.0000 0.0000 0.5000
Hf 0.0000 0.5000 0.7500
Hf 0.5000 0.0000 0.2500
Hf 0.5000 0.5000 0.0000
P 0.1925 0.2500 0.6250
P 0.2500 0.6925 0.8750
P 0.2500 0.8075 0.3750
P 0.3075 0.2500 0.1250
P 0.6925 0.7500 0.1250
P 0.7500 0.1925 0.3750
P 0.7500 0.3075 0.8750
P 0.8075 0.7500 0.6250

energy relative to the lowest polymorph listed for this composition = 0.3109 eV per atom
total magnetic moment = 0.000 μB per atom


Record 2
Computed, not measured: SrHf3P after structural relaxation at the GGA-PBE level of DFT.

a b c (Å): 5.1101 5.1101 5.1101
angles (deg): 90.00 90.00 90.00
Positions (direct):
Sr 0.0000 0.0000 0.0000
Hf 0.0000 0.0000 0.5000
Hf 0.0000 0.5000 0.0000
Hf 0.5000 0.0000 0.0000
P 0.5000 0.5000 0.5000

energy relative to the lowest polymorph listed for this composition = 2.3449 eV per atom
total magnetic moment = 0.000 μB per atom


Record 3
Computed, not measured: SrHf3P after structural relaxation at the GGA-PBE level of DFT.

a b c (Å): 5.0160 5.0160 5.0160
angles (deg): 90.00 90.00 90.00
Positions (direct):
Sr 0.0000 0.0000 0.0000
Hf 0.0000 0.5000 0.5000
Hf 0.5000 0.0000 0.5000
Hf 0.5000 0.5000 0.0000
P 0.5000 0.5000 0.5000

energy relative to the lowest polymorph listed for this composition = 0.0000 eV per atom
total magnetic moment = 0.000 μB per atom


Record 4
Computed, not measured: SrHfP2 after structural relaxation at the GGA-PBE level of DFT.

a b c (Å): 3.8801 3.8801 21.1690
angles (deg): 90.00 90.00 120.00
Positions (direct):
Sr 0.0000 0.0000 0.0000
Sr 0.3333 0.6667 0.6667
Sr 0.6667 0.3333 0.3333
Hf 0.0000 0.0000 0.1711
Hf 0.3333 0.6667 0.8378
Hf 0.6667 0.3333 0.5044
P 0.0000 0.0000 0.5720
P 0.0000 0.0000 0.7677
P 0.3333 0.6667 0.2387
P 0.3333 0.6667 0.4344
P 0.6667 0.3333 0.1011
P 0.6667 0.3333 0.9053

energy relative to the lowest polymorph listed for this composition = 0.0719 eV per atom
total magnetic moment = 0.000 μB per atom


Record 5
Computed, not measured: SrHf2P2 after structural relaxation at the GGA-PBE level of DFT.

a b c (Å): 7.5588 7.5588 3.4787
angles (deg): 90.00 90.00 90.00
Positions (direct):
Sr 0.0000 0.0000 0.0000
Sr 0.5000 0.5000 0.0000
Hf 0.1447 0.3553 0.5000
Hf 0.3553 0.8553 0.5000
Hf 0.6447 0.1447 0.5000
Hf 0.8553 0.6447 0.5000
P 0.1359 0.6359 0.0000
P 0.3641 0.1359 0.0000
P 0.6359 0.8641 0.0000
P 0.8641 0.3641 0.0000

energy relative to the lowest polymorph listed for this composition = 0.0000 eV per atom
total magnetic moment = 0.000 μB per atom


Record 6
Computed, not measured: Sr2HfP after structural relaxation at the GGA-PBE level of DFT.

a b c (Å): 11.0318 11.0318 4.9774
angles (deg): 90.00 90.00 90.00
Positions (direct):
Sr 0.1031 0.2500 0.1250
Sr 0.2500 0.6031 0.3750
Sr 0.2500 0.8969 0.8750
Sr 0.3969 0.2500 0.6250
Sr 0.6031 0.7500 0.6250
Sr 0.7500 0.1031 0.8750
Sr 0.7500 0.3969 0.3750
Sr 0.8969 0.7500 0.1250
Hf 0.0000 0.0000 0.5000
Hf 0.0000 0.5000 0.7500
Hf 0.5000 0.0000 0.2500
Hf 0.5000 0.5000 0.0000
P 0.0000 0.0000 0.0000
P 0.0000 0.5000 0.2500
P 0.5000 0.0000 0.7500
P 0.5000 0.5000 0.5000

total magnetic moment = 0.000 μB per atom


Record 7
Computed, not measured: SrHfTa2P after structural relaxation at the GGA-PBE level of DFT.

a b c (Å): 4.7074 4.7074 5.3371
angles (deg): 90.00 90.00 90.00
Positions (direct):
Sr 0.0000 0.0000 0.0000
Hf 0.5000 0.5000 0.0000
Ta 0.0000 0.5000 0.5000
Ta 0.5000 0.0000 0.5000
P 0.0000 0.0000 0.5000

total magnetic moment = 0.000 μB per atom


Record 8
Computed, not measured: Sr2HfThP4 after structural relaxation at the GGA-PBE level of DFT.

a b c (Å): 7.0757 4.1004 7.3457
angles (deg): 90.00 108.64 90.00
Positions (direct):
Sr 0.0000 0.0000 0.0000
Sr 0.5000 0.5000 0.0000
Hf 0.0000 0.5000 0.5000
Th 0.5000 0.0000 0.5000
P 0.2217 0.0000 0.7116
P 0.2426 0.5000 0.2810
P 0.7574 0.5000 0.7190
P 0.7783 0.0000 0.2884

total magnetic moment = 0.000 μB per atom


Number 1: formation energy -0.89 eV/atom. Number 2: formation energy 2.30 eV/atom. Number 3: formation energy -0.05 eV/atom. Number 4: formation energy -1.13 eV/atom. Number 5: formation energy -0.67 eV/atom. Number 6: formation energy -0.06 eV/atom. Number 7: formation energy 0.51 eV/atom. Number 8: formation energy -1.26 eV/atom.